Entry 1:
Below is a relaxed Li2Re2Au crystal, with properties calculated at the GGA-PBE level.

Output
Energy above the lowest structure with this stoichiometry = 0.0 meV per atom
SG = I4/mmm (139)
Calculated volume = 18.27 A^3/atom

a b c (Å): 7.9965 7.9965 7.9965
angles (deg): 154.98 154.98 35.67
Fractional positions:
Li 0.0938 0.0938 0.0000
Li 0.9062 0.9062 0.0000
Re 0.2500 0.7500 0.5000
Re 0.7500 0.2500 0.5000
Au 0.5000 0.5000 0.0000

---

Entry 2:
Below is a relaxed LiRe2Au crystal, with properties calculated at the GGA-PBE level.

Output
Energy above the lowest structure with this stoichiometry = 110.3 meV per atom
SG = C2/m (12)
Calculated volume = 15.29 A^3/atom

a b c (Å): 5.1217 5.1217 4.5652
angles (deg): 97.66 97.66 31.05
Fractional positions:
Li 0.0000 0.0000 0.0000
Re 0.2361 0.2361 0.7498
Re 0.7639 0.7639 0.2502
Au 0.5000 0.5000 0.5000

---

Entry 3:
Below is a relaxed LiRe2Au crystal, with properties calculated at the GGA-PBE level.

Output
Energy above the lowest structure with this stoichiometry = 422.4 meV per atom
SG = I-42d (122)
Calculated volume = 16.20 A^3/atom

a b c (Å): 10.2462 10.2462 10.2462
angles (deg): 159.68 159.68 28.89
Fractional positions:
Li 0.0000 0.0000 0.0000
Li 0.7500 0.2500 0.5000
Re 0.1026 0.6250 0.9776
Re 0.3750 0.3526 0.4776
Re 0.6474 0.1250 0.0224
Re 0.8750 0.8974 0.5224
Au 0.2500 0.7500 0.5000
Au 0.5000 0.5000 0.0000

---

Entry 4:
Below is a relaxed LiRe2Au crystal, with properties calculated at the GGA-PBE level.

Output
Energy above the lowest structure with this stoichiometry = 270.9 meV per atom
SG = Cmmm (65)
Calculated volume = 15.18 A^3/atom

a b c (Å): 5.1678 5.1678 2.6605
angles (deg): 90.00 90.00 121.27
Fractional positions:
Li 0.0000 0.0000 0.0000
Re 0.0000 0.5000 0.5000
Re 0.5000 0.0000 0.5000
Au 0.5000 0.5000 0.0000

---

Entry 5:
Below is a relaxed LiReAu3 crystal, with properties calculated at the GGA-PBE level.

Output
Energy above the lowest structure with this stoichiometry = 85.3 meV per atom
SG = Pm-3m (221)
Calculated volume = 16.44 A^3/atom

a b c (Å): 4.3480 4.3480 4.3480
angles (deg): 90.00 90.00 90.00
Fractional positions:
Li 0.0000 0.0000 0.0000
Re 0.5000 0.5000 0.5000
Au 0.0000 0.0000 0.5000
Au 0.0000 0.5000 0.0000
Au 0.5000 0.0000 0.0000

---

Entry 6:
Below is a relaxed LiRe2Au crystal, with properties calculated at the GGA-PBE level.

Output
Energy above the lowest structure with this stoichiometry = 465.0 meV per atom
SG = P4/mmm (123)
Calculated volume = 15.54 A^3/atom

a b c (Å): 2.6193 2.6193 9.0600
angles (deg): 90.00 90.00 90.00
Fractional positions:
Li 0.0000 0.0000 0.0000
Re 0.5000 0.5000 0.2445
Re 0.5000 0.5000 0.7555
Au 0.0000 0.0000 0.5000

---

Question: What is the formula in the second record?
Answer: LiRe2Au

---

Question: The lowest calculated volume belongs to which entry?
Answer: number 4